1.
A plane-wave DFT calculation with PBEsol was carried out for B2H5 after structural relaxation.

Structure (extended XYZ):
```
56
Lattice="5.561 0.000 0.000 0.000 9.734 0.000 -3.091 0.000 7.960" Properties=species:S:1:pos:R:3 pbc="T T T"
B -0.837 1.986 3.076
B -2.382 2.881 7.056
B -0.310 5.677 2.224
B -1.855 8.924 6.204
B 0.579 7.126 2.151
B -0.967 7.475 6.131
B 1.482 5.561 1.965
B -0.063 9.040 5.945
B 2.533 0.694 2.015
B 0.988 4.173 5.995
B 3.437 2.259 1.830
B 1.891 2.608 5.810
B 4.325 0.810 1.756
B 2.780 4.057 5.736
B 4.852 6.853 0.904
B 3.307 7.748 4.884
H -0.918 5.470 3.233
H -2.464 9.131 7.213
H -1.156 1.739 4.216
H 0.389 3.128 0.236
H -0.489 0.652 2.780
H -2.034 4.215 6.760
H -1.205 6.822 5.059
H 0.341 7.779 1.079
H -1.148 0.201 5.881
H 0.397 4.666 1.901
H -1.368 2.249 6.903
H 0.178 2.618 2.923
H -1.023 6.769 7.094
H 0.522 7.832 3.114
H 1.901 5.253 0.871
H 0.356 9.348 4.852
H 1.898 0.345 1.056
H 0.353 4.522 5.036
H 1.788 6.927 1.793
H 0.242 7.674 5.773
H 2.228 2.060 2.187
H 0.682 2.807 6.167
H 2.117 5.212 2.925
H 0.572 9.389 6.905
H 2.114 0.386 3.109
H 0.569 4.481 7.089
H 1.948 1.902 4.846
H 3.493 2.965 0.866
H 2.292 7.116 5.037
H 3.838 7.485 1.057
H 2.073 5.069 6.059
H 3.618 9.533 2.079
H 2.129 1.955 6.882
H 3.675 2.912 2.901
H 4.504 5.519 1.200
H 2.959 9.082 5.180
H 2.081 6.606 7.724
H 3.626 7.995 3.744
H 4.934 0.603 0.747
H 3.388 4.264 4.727
```

---

2.
A plane-wave DFT calculation with PBEsol was carried out for HfB2H after structural relaxation.

Structure (extended XYZ):
```
4
Lattice="0.000 2.708 2.708 2.708 0.000 2.708 2.708 2.708 0.000" Properties=species:S:1:pos:R:3 pbc="T T T"
Hf 0.000 0.000 0.000
B 1.354 1.354 1.354
B 4.063 4.063 4.063
H 2.708 2.708 2.708
```

---

Number 1: total magnetization 0.000 μB per atom, total energy -4.39 eV/atom. Number 2: total magnetization 0.000 μB per atom, total energy -5.98 eV/atom.